[1]
Computed, not measured: Er3In3Cu2Pd after structural relaxation at the PBE level of DFT.

Summary:
* E_tot: -4.369 eV per atom
* volume: 190.6 Å³ per cell

Cell lengths 7.4896, 7.4896, 3.9242 Å; angles 90.00, 90.00, 120.00 degrees
Space group P-62m (No. 189)
Asymmetric unit:
Er 0.0000 0.5901 0.0000 [3 per cell]
In 0.0000 0.2630 0.5000 [3 per cell]
Cu 0.3333 0.6667 0.5000 [2 per cell]
Pd 0.0000 0.0000 0.0000 [1 per cell]



[2]
Computed, not measured: ErTm2In3CuPd2 after structural relaxation at the PBE level of DFT.

Summary:
* E_tot: -4.676 eV per atom
* volume: 382.0 Å³ per cell

Cell lengths 3.8078, 13.1890, 7.6070 Å; angles 90.00, 90.00, 90.00 degrees
Space group Amm2 (No. 38)
Asymmetric unit:
Er 0.0000 0.0000 0.0000 [2 per cell]
Tm 0.0000 0.2048 0.6143 [4 per cell]
In 0.5000 0.0000 0.6620 [2 per cell]
In 0.5000 0.1265 0.2834 [4 per cell]
Cu 0.0000 0.0000 0.4098 [2 per cell]
Pd 0.5000 0.1671 0.9094 [4 per cell]



[3]
Computed, not measured: Y2ErIn3CuPd2 after structural relaxation at the PBE level of DFT.

Summary:
* E_tot: -5.128 eV per atom
* volume: 390.8 Å³ per cell

Cell lengths 3.7352, 13.4489, 7.7802 Å; angles 90.00, 90.00, 90.00 degrees
Space group Amm2 (No. 38)
Asymmetric unit:
Y 0.0000 0.2038 0.0000 [4 per cell]
Er 0.0000 0.0000 0.6118 [2 per cell]
In 0.5000 0.0000 0.9472 [2 per cell]
In 0.5000 0.1282 0.3324 [4 per cell]
Cu 0.0000 0.0000 0.2048 [2 per cell]
Pd 0.5000 0.1645 0.7026 [4 per cell]



[4]
Computed, not measured: Er2TmIn3CuPt2 after structural relaxation at the PBE level of DFT.

Summary:
* E_tot: -5.024 eV per atom
* volume: 379.8 Å³ per cell

Cell lengths 3.6869, 13.3511, 7.7154 Å; angles 90.00, 90.00, 90.00 degrees
Space group Amm2 (No. 38)
Asymmetric unit:
Er 0.0000 0.2053 0.0000 [4 per cell]
Tm 0.0000 0.0000 0.6161 [2 per cell]
In 0.5000 0.0000 0.9495 [2 per cell]
In 0.5000 0.1276 0.3332 [4 per cell]
Cu 0.0000 0.0000 0.2056 [2 per cell]
Pt 0.5000 0.1660 0.7051 [4 per cell]



[5]
Computed, not measured: Y2ErIn3CuPt2 after structural relaxation at the PBE level of DFT.

Summary:
* E_tot: -5.456 eV per atom
* volume: 388.0 Å³ per cell

Cell lengths 3.7191, 13.4213, 7.7727 Å; angles 90.00, 90.00, 90.00 degrees
Space group Amm2 (No. 38)
Asymmetric unit:
Y 0.0000 0.2041 0.0000 [4 per cell]
Er 0.0000 0.0000 0.3867 [2 per cell]
In 0.5000 0.0000 0.0523 [2 per cell]
In 0.5000 0.1282 0.6672 [4 per cell]
Cu 0.0000 0.0000 0.7946 [2 per cell]
Pt 0.5000 0.1647 0.2969 [4 per cell]



[6]
Computed, not measured: Er4InCu2Si4 after structural relaxation at the PBE level of DFT.

Summary:
* E_tot: -5.226 eV per atom
* volume: 420.2 Å³ per cell

Cell lengths 15.2326, 4.1768, 6.9726 Å; angles 90.00, 108.69, 90.00 degrees
Space group C2/m (No. 12)
Asymmetric unit:
Er 0.0887 0.0000 0.3843 [4 per cell]
Er 0.1528 0.0000 0.9314 [4 per cell]
In 0.0000 0.5000 0.0000 [2 per cell]
Cu 0.2168 0.5000 0.6363 [4 per cell]
Si 0.0612 0.5000 0.6549 [4 per cell]
Si 0.1996 0.5000 0.2540 [4 per cell]



[7]
Computed, not measured: ErCuIr after structural relaxation at the PBE level of DFT.

Summary:
* DFT formation energy: -0.175 eV per atom
* E_tot: -5.887 eV per atom
* volume: 246.9 Å³ per cell
* energy relative to the lowest polymorph listed for this composition: 0.0 meV/atom

Cell lengths 6.2730, 6.2730, 6.2730 Å; angles 90.00, 90.00, 90.00 degrees
Space group F-43m (No. 216)
Asymmetric unit:
Er 0.0000 0.0000 0.0000 [4 per cell]
Cu 0.0000 0.0000 0.5000 [4 per cell]
Ir 0.2500 0.2500 0.7500 [4 per cell]



[8]
Computed, not measured: Er2CuIr2 after structural relaxation at the PBE level of DFT.

Summary:
* DFT formation energy: -0.720 eV per atom
* E_tot: -6.831 eV per atom
* volume: 193.7 Å³ per cell

Cell lengths 4.1876, 5.6994, 8.1152 Å; angles 90.00, 90.00, 90.00 degrees
Space group Immm (No. 71)
Asymmetric unit:
Er 0.0000 0.0000 0.2059 [4 per cell]
Cu 0.0000 0.5000 0.0000 [2 per cell]
Ir 0.0000 0.2719 0.5000 [4 per cell]



[9]
Computed, not measured: ErCuIr after structural relaxation at the PBE level of DFT.

Summary:
* DFT formation energy: 0.232 eV per atom
* E_tot: -5.480 eV per atom
* volume: 252.2 Å³ per cell
* energy relative to the lowest polymorph listed for this composition: 406.5 meV/atom

Cell lengths 6.3182, 6.3182, 6.3182 Å; angles 90.00, 90.00, 90.00 degrees
Space group F-43m (No. 216)
Asymmetric unit:
Er 0.0000 0.0000 0.0000 [4 per cell]
Cu 0.2500 0.2500 0.7500 [4 per cell]
Ir 0.2500 0.2500 0.2500 [4 per cell]



[10]
Computed, not measured: ErTm2Mg3CuIr2 after structural relaxation at the PBE level of DFT.

Summary:
* E_tot: -4.951 eV per atom
* volume: 364.9 Å³ per cell

Cell lengths 3.9193, 12.7073, 7.3266 Å; angles 90.00, 90.00, 90.00 degrees
Space group Amm2 (No. 38)
Asymmetric unit:
Er 0.0000 0.0000 0.0000 [2 per cell]
Tm 0.0000 0.2079 0.6243 [4 per cell]
Mg 0.5000 0.0000 0.6646 [2 per cell]
Mg 0.5000 0.1243 0.2922 [4 per cell]
Cu 0.0000 0.0000 0.4168 [2 per cell]
Ir 0.5000 0.1672 0.9160 [4 per cell]



[11]
Computed, not measured: Er3Zn3CuNiIr after structural relaxation at the PBE level of DFT.

Summary:
* DFT formation energy: -0.532 eV per atom
* E_tot: -4.490 eV per atom
* volume: 163.6 Å³ per cell

Cell lengths 7.1121, 7.1121, 3.7339 Å; angles 90.00, 90.00, 120.00 degrees
Space group P-6 (No. 174)
Asymmetric unit:
Er 0.0001 0.4133 0.0000 [3 per cell]
Zn 0.2501 0.2461 0.5000 [3 per cell]
Cu 0.0000 0.0000 0.0000 [1 per cell]
Ni 0.6667 0.3333 0.5000 [1 per cell]
Ir 0.3333 0.6667 0.5000 [1 per cell]



[12]
Computed, not measured: Er3Zn3CuIrPd after structural relaxation at the PBE level of DFT.

Summary:
* DFT formation energy: -0.637 eV per atom
* E_tot: -4.552 eV per atom
* volume: 169.6 Å³ per cell

Cell lengths 7.2214, 7.2214, 3.7559 Å; angles 90.00, 90.00, 120.00 degrees
Space group P-6 (No. 174)
Asymmetric unit:
Er 0.0092 0.4152 0.0000 [3 per cell]
Zn 0.0023 0.7553 0.5000 [3 per cell]
Cu 0.0000 0.0000 0.0000 [1 per cell]
Ir 0.3333 0.6667 0.5000 [1 per cell]
Pd 0.6667 0.3333 0.5000 [1 per cell]



Repeat the fifth record exactly.
Computed, not measured: Y2ErIn3CuPt2 after structural relaxation at the PBE level of DFT.

Summary:
* E_tot: -5.456 eV per atom
* volume: 388.0 Å³ per cell

Cell lengths 3.7191, 13.4213, 7.7727 Å; angles 90.00, 90.00, 90.00 degrees
Space group Amm2 (No. 38)
Asymmetric unit:
Y 0.0000 0.2041 0.0000 [4 per cell]
Er 0.0000 0.0000 0.3867 [2 per cell]
In 0.5000 0.0000 0.0523 [2 per cell]
In 0.5000 0.1282 0.6672 [4 per cell]
Cu 0.0000 0.0000 0.7946 [2 per cell]
Pt 0.5000 0.1647 0.2969 [4 per cell]



Question: Which of these has the highest E_tot?
Answer: Er3In3Cu2Pd